# PBE Tb2PmPr6Th, optimized geometry
# ΔE_f (meV per atom): 139
data_Tb2PmPr6Th
_chemical_formula_sum 'Tb8 Pm4 Pr24 Th4'
_space_group_name_H-M_alt 'C 1 2/c 1'
_space_group_IT_number 15
_space_group_name_Hall '-C 2yc'
_cell_length_a 9.388
_cell_length_b 15.168
_cell_length_c 9.996
_cell_angle_alpha 90.00
_cell_angle_beta 99.37
_cell_angle_gamma 90.00
loop_
_atom_site_label
_atom_site_type_symbol
_atom_site_fract_x
_atom_site_fract_y
_atom_site_fract_z
Tb1 Tb 0.238 0.044 0.049
Pm1 Pm 0.000 0.405 0.250
Pr1 Pr 0.070 0.176 0.444
Pr2 Pr 0.096 0.397 0.620
Pr3 Pr 0.205 0.218 0.814
Th1 Th 0.000 0.026 0.750